Below is a relaxed structure of BeAs2Cl, with properties calculated at the GGA-PBE level.

The crystal system is orthorhombic. The uncorrected formation energy is 223 kJ/mol of formula units. The calculation puts the total DFT energy (no corrections) at -12.6 eV per cell. The calculation puts the mass density at 4.17 g/cm³.

a b c (Å): 6.1222 6.1222 2.8438
angles (deg): 90.00 90.00 133.43
Fractional coordinates of all 4 atoms:
Be: 0.0000 0.0000 0.0000
As: 0.0000 0.5000 0.5000
As: 0.5000 0.0000 0.5000
Cl: 0.5000 0.5000 0.0000